Record 1
ZrAsAu2 | GGA-PBE | relaxed

extended XYZ file:
```
4
Lattice="3.6218 0.0000 0.0000 0.0000 3.6218 0.0000 0.0000 0.0000 6.0771" Properties=species:S:1:pos:R:3 pbc="T T T"
Zr 0.0000 0.0000 0.0000
As 1.8109 1.8109 0.9894
Au 0.0000 0.0000 3.0734
Au 1.8109 1.8109 4.2835
```

Its calculated formation energy is -0.38 eV per atom. The value obtained for the volume is 79.7 Å³/cell. The calculation puts the magnetization at 0.00 Bohr magnetons per cell.

Record 2
Zr2AsAu | GGA-PBE | relaxed

extended XYZ file:
```
8
Lattice="4.1341 0.0000 0.0000 0.0000 4.9561 0.0000 0.0000 0.0000 7.7463" Properties=species:S:1:pos:R:3 pbc="T T T"
Zr 0.0000 0.0000 1.8369
Zr 0.0000 0.0000 5.9093
Zr 2.0671 2.4781 2.0362
Zr 2.0671 2.4781 5.7101
As 0.0000 2.4781 3.8731
As 2.0671 0.0000 0.0000
Au 0.0000 2.4781 0.0000
Au 2.0671 0.0000 3.8731
```

Its calculated formation energy is -0.65 eV per atom. The value obtained for the volume is 158.7 Å³/cell. The calculation puts the magnetization at 0.00 Bohr magnetons per cell.

Record 3
Zr2AsAu | GGA-PBE | relaxed

extended XYZ file:
```
8
Lattice="3.9404 0.0000 0.0000 0.0000 3.8294 0.0000 0.0000 0.0000 10.6678" Properties=species:S:1:pos:R:3 pbc="T T T"
Zr 0.0000 0.0000 0.0000
Zr 0.0000 1.9147 5.3339
Zr 1.9702 0.0000 3.2279
Zr 1.9702 1.9147 8.5618
As 0.0000 0.0000 7.9063
As 0.0000 1.9147 2.5724
Au 1.9702 0.0000 6.0913
Au 1.9702 1.9147 0.7574
```

Its calculated formation energy is -0.73 eV per atom. The value obtained for the volume is 161.0 Å³/cell. The calculation puts the magnetization at 0.00 Bohr magnetons per cell.

Record 4
Zr4AsAu | GGA-PBE | relaxed

extended XYZ file:
```
6
Lattice="0.0000 4.0099 4.0099 4.0099 0.0000 4.0099 4.0099 4.0099 0.0000" Properties=species:S:1:pos:R:3 pbc="T T T"
Zr 1.0028 1.0028 1.0028
Zr 3.0071 3.0071 1.0028
Zr 3.0071 1.0028 3.0071
Zr 1.0028 3.0071 3.0071
As 6.0148 6.0148 6.0148
Au 4.0099 4.0099 4.0099
```

Its calculated formation energy is 0.21 eV per atom. The value obtained for the volume is 129.0 Å³/cell. The calculation puts the magnetization at 0.00 Bohr magnetons per cell. The excess energy over the best structure of this formula in the dataset comes out at 818.3 meV/atom.

Record 5
Zr2AsAu | GGA-PBE | relaxed

extended XYZ file:
```
8
Lattice="3.5629 0.0000 0.0000 0.0000 4.5176 0.0000 0.0000 0.0000 9.8047" Properties=species:S:1:pos:R:3 pbc="T T T"
Zr 0.0000 0.0000 0.0000
Zr 0.0000 2.2588 2.2294
Zr 1.7814 0.0000 7.1318
Zr 1.7814 2.2588 4.9024
As 0.0000 2.2588 7.1698
As 1.7814 0.0000 2.2675
Au 0.0000 0.0000 4.5053
Au 1.7814 2.2588 9.4077
```

Its calculated formation energy is -0.54 eV per atom. The value obtained for the volume is 157.8 Å³/cell. The calculation puts the magnetization at 0.00 Bohr magnetons per cell.

Record 6
ZrAs4Au | GGA-PBE | relaxed

extended XYZ file:
```
6
Lattice="0.0000 3.8856 3.8856 3.8856 0.0000 3.8856 3.8856 3.8856 0.0000" Properties=species:S:1:pos:R:3 pbc="T T T"
Zr 0.0000 0.0000 0.0000
As 4.8507 2.9206 2.9206
As 2.9206 4.8507 2.9206
As 2.9206 2.9206 4.8507
As 4.8507 4.8507 4.8507
Au 1.9428 1.9428 1.9428
```

Its calculated formation energy is 0.16 eV per atom. The value obtained for the volume is 117.3 Å³/cell. The calculation puts the magnetization at 0.00 Bohr magnetons per cell.

Record 7
ZrAsAu2 | GGA-PBE | relaxed

extended XYZ file:
```
12
Lattice="3.1494 0.0000 0.0000 -1.5747 2.7275 0.0000 0.0000 0.0000 27.4604" Properties=species:S:1:pos:R:3 pbc="T T T"
Zr 0.0000 0.0000 0.0000
Zr 0.0000 1.8183 18.3069
Zr 1.5747 0.9092 9.1535
As 0.0000 0.0000 13.7302
As 0.0000 1.8183 4.5767
As 1.5747 0.9092 22.8837
Au 0.0000 0.0000 6.8061
Au 0.0000 0.0000 20.6543
Au 0.0000 1.8183 11.5009
Au 0.0000 1.8183 25.1130
Au 1.5747 0.9092 2.3474
Au 1.5747 0.9092 15.9595
```

Its calculated formation energy is -0.06 eV per atom. The value obtained for the volume is 235.9 Å³/cell. The calculation puts the magnetization at 0.00 Bohr magnetons per cell.

Record 8
ZrAsAu2 | GGA-PBE | relaxed

extended XYZ file:
```
12
Lattice="3.3486 0.0000 0.0000 -1.6743 2.8999 0.0000 0.0000 0.0000 25.0292" Properties=species:S:1:pos:R:3 pbc="T T T"
Zr 0.0000 0.0000 0.0000
Zr 0.0000 1.9333 16.6862
Zr 1.6743 0.9666 8.3431
As 0.0000 0.0000 6.2210
As 0.0000 1.9333 22.9071
As 1.6743 0.9666 14.5641
Au 0.0000 0.0000 12.5436
Au 0.0000 0.0000 18.7675
Au 0.0000 1.9333 4.2006
Au 0.0000 1.9333 10.4245
Au 1.6743 0.9666 2.0814
Au 1.6743 0.9666 20.8867
```

Its calculated formation energy is -0.11 eV per atom. The value obtained for the volume is 243.0 Å³/cell. The calculation puts the magnetization at 0.00 Bohr magnetons per cell.

Sequential DOS at the Fermi energy output: 0.532, 0.591, 0.678, 0.826, 0.777, 0.563, 0.807, 0.512 states/eV per atom